# Ho2Ga4Ni5, optimized geometry, DFT PBE
data_Ho2Ga4Ni5
_space_group_name_H-M_alt 'P 1'
_space_group_IT_number 1
_cell_length_a 5.290
_cell_length_b 5.214
_cell_length_c 7.856
_cell_angle_alpha 80.17
_cell_angle_beta 70.32
_cell_angle_gamma 59.52
loop_
_space_group_symop_operation_xyz
'x,y,z'
loop_
_atom_site_label
_atom_site_fract_x
_atom_site_fract_y
_atom_site_fract_z
Ho1 0.870 0.000 0.260
Ho2 0.130 0.000 0.740
Ga1 0.470 0.318 0.742
Ga2 0.530 0.682 0.258
Ga3 0.212 0.318 0.258
Ga4 0.788 0.682 0.742
Ni1 0.500 0.000 0.000
Ni2 0.000 0.500 0.000
Ni3 0.500 0.500 0.000
Ni4 0.250 0.500 0.500
Ni5 0.750 0.500 0.500
# VASP energy (eV/cell): -55.7